Er3Co2Ge3 PBE-GGA optimized geometry; total magnetization = 0.00 μB per formula unit; E = -95.26 eV/cell
1.0
2.077 -5.162 0.000
2.077 5.162 0.000
0.000 0.000 13.908
Er Co Ge
6 4 6
Cartesian
2.077 4.315 8.475
2.077 4.315 12.387
2.077 1.450 10.431
2.077 -1.450 3.477
2.077 -4.315 1.521
2.077 -4.315 5.433
2.077 3.034 1.364
2.077 3.034 5.590
2.077 -3.034 8.318
2.077 -3.034 12.544
2.077 1.667 3.477
2.077 1.333 7.496
2.077 1.333 13.366
2.077 -1.333 0.542
2.077 -1.333 6.412
2.077 -1.667 10.431